First-principles (meta-GGA SCAN) data for a crystal of Bi2WBrO relaxed with PBEsol, as listed in Alexandria.

Output
Calculated total energy ... -250.7 eV/cell
Crystal system ... tetragonal
Symmetry ... P4/mmm, No. 123
Total moment ... 0.967 μB per formula unit

Structure (POSCAR):
```
Bi2WBrO
1.0
-3.1574 0.7377 1.9341
-2.4453 -4.3051 -2.3499
1.7463 -3.2179 4.0781
Br O Bi W
1 1 2 1
direct
0.5000 0.5000 0.5000
0.0000 0.0000 0.0000
0.0000 0.0000 0.5000
0.0000 0.5000 0.0000
0.5000 0.0000 0.0000
```

---

First-principles (meta-GGA SCAN) data for a crystal of Mg2TiGeS relaxed with PBEsol, as listed in Alexandria.

Output
Calculated total energy ... -55.9 eV/cell
Crystal system ... tetragonal
Symmetry ... P4/mmm, No. 123
Total moment ... 1.882 μB per formula unit

Structure (POSCAR):
```
Mg2TiGeS
1.0
4.5363 0.0000 0.0000
0.0000 4.6465 0.0000
0.0000 0.0000 4.6465
Ge S Ti Mg
1 1 1 2
direct
0.5000 0.5000 0.5000
0.0000 0.0000 0.0000
0.5000 0.0000 0.0000
0.0000 0.0000 0.5000
0.0000 0.5000 0.0000
```

---

First-principles (meta-GGA SCAN) data for a crystal of CoB2Rh2 relaxed with PBEsol, as listed in Alexandria.

Output
Calculated total energy ... -100.2 eV/cell
Crystal system ... tetragonal
Energy of formation from the pure elements ... -0.09 eV per atom
Symmetry ... I4/mmm, No. 139
Total moment ... 2.582 μB per formula unit

Structure (POSCAR):
```
CoB2Rh2
1.0
-2.7381 -1.7894 1.7400
2.3272 -2.7639 0.8197
1.1587 4.0715 2.0659
Co B Rh
1 2 2
direct
0.0000 0.0000 0.0000
0.6114 0.6114 0.2229
0.3886 0.3886 0.7771
0.2500 0.7500 0.5000
0.7500 0.2500 0.5000
```

---

First-principles (meta-GGA SCAN) data for a crystal of TlCr2Si relaxed with PBEsol, as listed in Alexandria.

Output
Calculated total energy ... -117.3 eV/cell
Crystal system ... tetragonal
Symmetry ... I-4m2, No. 119
Total moment ... 6.425 μB per formula unit

Structure (POSCAR):
```
TlCr2Si
1.0
-0.4797 -2.0038 -3.1423
-2.3566 -2.2913 1.8209
-1.8879 4.6704 -0.4434
Si Tl Cr
1 1 2
direct
0.5000 0.5000 0.0000
0.2500 0.7500 0.5000
0.7500 0.2500 0.5000
0.0000 0.0000 0.0000
```

---

First-principles (meta-GGA SCAN) data for a crystal of CrTeP relaxed with PBEsol, as listed in Alexandria.

Output
Calculated total energy ... -65.8 eV/cell
Crystal system ... cubic
Symmetry ... F-43m, No. 216
Total moment ... 2.446 μB per formula unit

Structure (POSCAR):
```
CrTeP
1.0
4.3129 0.0000 0.0000
2.1565 3.7351 0.0000
2.1565 1.2450 3.5215
P Te Cr
1 1 1
direct
0.0000 0.0000 0.0000
0.5000 0.5000 0.5000
0.2500 0.2500 0.2500
```

---

First-principles (meta-GGA SCAN) data for a crystal of Ce3In3Ru2 relaxed with PBEsol, as listed in Alexandria.

Output
Calculated total energy ... -308.3 eV/cell
Crystal system ... monoclinic
Energy of formation from the pure elements ... -0.60 eV per atom
Symmetry ... C2/m, No. 12
Total moment ... 1.178 μB per formula unit

Structure (POSCAR):
```
Ce3In3Ru2
1.0
4.7931 0.0000 0.0000
0.0000 4.8537 0.0664
-2.3965 -1.0724 7.9197
Ru Ce In
2 3 3
direct
0.7897 0.8747 0.5793
0.2103 0.1253 0.4207
0.0000 0.0000 0.0000
0.8291 0.4253 0.6583
0.1709 0.5747 0.3417
0.5000 0.5000 0.0000
0.6301 0.0487 0.2601
0.3699 0.9513 0.7399
```

---

First-principles (meta-GGA SCAN) data for a crystal of SbAs4Cl relaxed with PBEsol, as listed in Alexandria.

Output
Calculated total energy ... -124.1 eV/cell
Crystal system ... cubic
Symmetry ... F-43m, No. 216
Total moment ... 0.000 μB per formula unit

Structure (POSCAR):
```
SbAs4Cl
1.0
-0.9273 2.1236 5.2043
-5.3159 0.3936 2.0103
-1.7135 -3.4310 4.2127
Cl As Sb
1 4 1
direct
0.7500 0.7500 0.7500
0.3890 0.3890 0.3890
0.3890 0.3890 0.8331
0.3890 0.8331 0.3890
0.8331 0.3890 0.3890
0.0000 0.0000 0.0000
```

---

First-principles (meta-GGA SCAN) data for a crystal of PPb2Cl relaxed with PBEsol, as listed in Alexandria.

Output
Calculated total energy ... -171.0 eV/cell
Crystal system ... tetragonal
Symmetry ... P4mm, No. 99
Total moment ... 0.000 μB per formula unit

Structure (POSCAR):
```
PPb2Cl
1.0
4.1959 0.0000 0.0000
0.0000 4.1959 0.0000
0.0000 0.0000 6.2306
Cl P Pb
1 1 2
direct
0.0000 0.0000 0.3694
0.5000 0.5000 0.8344
0.0000 0.0000 0.8800
0.5000 0.5000 0.4161
```

---

First-principles (meta-GGA SCAN) data for a crystal of BeNi2Os relaxed with PBEsol, as listed in Alexandria.

Output
Calculated total energy ... -108.7 eV/cell
Crystal system ... tetragonal
Energy of formation from the pure elements ... -0.03 eV per atom
Symmetry ... P4/mmm, No. 123
Total moment ... 0.000 μB per formula unit

Structure (POSCAR):
```
BeNi2Os
1.0
3.3231 0.0000 0.0000
0.0000 3.3231 0.0000
0.0000 0.0000 3.8665
Os Ni Be
1 2 1
direct
0.5000 0.5000 0.5000
0.0000 0.5000 0.0000
0.5000 0.0000 0.0000
0.0000 0.0000 0.5000
```

---

First-principles (meta-GGA SCAN) data for a crystal of YAlH3 relaxed with PBEsol, as listed in Alexandria.

Output
Calculated total energy ... -45.7 eV/cell
Crystal system ... cubic
Symmetry ... Pm-3m, No. 221
Total moment ... 0.001 μB per formula unit

Structure (POSCAR):
```
YAlH3
1.0
3.7183 0.0000 0.0000
0.0000 3.7183 0.0000
0.0000 0.0000 3.7183
Al Y H
1 1 3
direct
0.0000 0.0000 0.0000
0.5000 0.5000 0.5000
0.5000 0.0000 0.0000
0.0000 0.0000 0.5000
0.0000 0.5000 0.0000
```

---

First-principles (meta-GGA SCAN) data for a crystal of Ce3Bi4Au3 relaxed with PBEsol, as listed in Alexandria.

Output
Calculated total energy ... -1328.4 eV/cell
Crystal system ... cubic
Energy of formation from the pure elements ... -0.87 eV per atom
Symmetry ... I-43d, No. 220
Total moment ... 3.007 μB per formula unit

Structure (POSCAR):
```
Ce3Bi4Au3
1.0
-8.6522 -0.8177 -1.2362
4.2789 -4.6358 -6.1038
2.1137 -3.0053 7.9723
Au Ce Bi
6 6 8
direct
0.7500 0.1250 0.3750
0.1250 0.8750 0.2500
0.2500 0.3750 0.1250
0.8750 0.7500 0.6250
0.3750 0.6250 0.7500
0.6250 0.2500 0.8750
0.2500 0.8750 0.6250
0.7500 0.6250 0.8750
0.6250 0.3750 0.2500
0.3750 0.7500 0.1250
0.8750 0.1250 0.7500
0.1250 0.2500 0.3750
0.0000 0.5000 0.6828
0.6828 0.0000 0.0000
0.3172 0.3172 0.8172
0.8172 0.8172 0.3172
0.1828 0.0000 0.0000
0.5000 0.6828 0.5000
0.0000 0.5000 0.1828
0.5000 0.1828 0.5000
```

---

First-principles (meta-GGA SCAN) data for a crystal of RbTaMnPt2 relaxed with PBEsol, as listed in Alexandria.

Output
Calculated total energy ... -243.5 eV/cell
Crystal system ... tetragonal
Energy of formation from the pure elements ... 0.48 eV per atom
Symmetry ... P4/mmm, No. 123
Total moment ... 3.672 μB per formula unit

Structure (POSCAR):
```
RbTaMnPt2
1.0
-0.4410 -3.0994 -3.8524
4.4469 -1.9394 1.0512
-2.1359 -3.3180 2.9140
Ta Mn Rb Pt
1 1 1 2
direct
0.0000 0.0000 0.0000
0.0000 0.0000 0.5000
0.5000 0.5000 0.5000
0.0000 0.5000 0.0000
0.5000 0.0000 0.0000
```

---

Repeat the fifth record exactly.
First-principles (meta-GGA SCAN) data for a crystal of CrTeP relaxed with PBEsol, as listed in Alexandria.

Output
Calculated total energy ... -65.8 eV/cell
Crystal system ... cubic
Symmetry ... F-43m, No. 216
Total moment ... 2.446 μB per formula unit

Structure (POSCAR):
```
CrTeP
1.0
4.3129 0.0000 0.0000
2.1565 3.7351 0.0000
2.1565 1.2450 3.5215
P Te Cr
1 1 1
direct
0.0000 0.0000 0.0000
0.5000 0.5000 0.5000
0.2500 0.2500 0.2500
```

---

Q: Which value of calculated total energy does entry 2 give?
A: -55.9 eV/cell